A plane-wave DFT calculation with PBE was carried out for crystalline LiZnAsH2O5 at its relaxed geometry.

Summary:
E   -53.54 eV per formula unit

```
40
Lattice="11.2544 0.0000 0.0000 0.0000 8.3870 0.0000 0.0000 0.0000 5.2279" Properties=species:S:1:pos:R:3 pbc="T T T"
Li 2.0827 1.5117 0.0000
Li 3.5445 5.7052 2.6139
Li 7.7099 2.6818 0.0000
Li 9.1717 6.8753 2.6139
Zn 1.4218 3.1542 2.6043
Zn 4.2054 7.3477 5.2182
Zn 7.0490 1.0393 2.6043
Zn 9.8326 5.2328 5.2182
As 1.8463 4.9363 5.1893
As 3.7809 0.7428 2.5753
As 7.4735 7.6441 5.1893
As 9.4081 3.4507 2.5753
H 0.1952 8.0027 1.9804
H 0.2861 6.9882 3.2187
H 5.3411 2.7947 0.6047
H 5.4320 3.8092 4.5943
H 5.8224 4.5777 1.9804
H 5.9133 5.5923 3.2187
H 10.9683 1.3988 0.6047
H 11.0592 0.3843 4.5943
O 0.2627 0.7002 0.1759
O 0.4038 5.7440 4.7243
O 1.8510 3.3435 4.5132
O 2.0583 4.7989 1.6668
O 2.4655 1.6179 1.9086
O 3.1617 5.8114 4.5225
O 3.5689 0.6054 4.2808
O 3.7762 7.5370 1.8993
O 5.2234 1.5505 2.1103
O 5.3645 4.8937 2.7898
O 5.8899 3.4933 0.1759
O 6.0310 6.8365 4.7243
O 7.4782 0.8500 4.5132
O 7.6855 7.7816 1.6668
O 8.0926 2.5756 1.9086
O 8.7889 6.7691 4.5225
O 9.1961 3.5881 4.2808
O 9.4034 5.0435 1.8993
O 10.8505 2.6430 2.1103
O 10.9917 7.6868 2.7898
```